No. 1
Material: In2Te2Mo
Method: DFT, PBE
State: optimized geometry

Computed properties:
Distance to the lowest polymorph of the same formula ... 0.228 eV/atom
Volume ... 27.4 Å³ per atom
Magnetic moment ... 2.0 μB/cell
Uncorrected formation energy ... 0.531 eV per atom

```
In2Te2Mo
1.0
3.878 0.000 0.000
0.000 3.878 0.000
1.939 1.939 9.120
In Te Mo
2 2 1
Cartesian
1.939 3.878 4.560
3.878 1.939 4.560
3.878 3.878 7.575
1.939 1.939 1.546
0.000 0.000 0.000
```



No. 2
Material: HfTaTeI2
Method: DFT, PBE
State: optimized geometry

Computed properties:
Distance to the lowest polymorph of the same formula ... 0.000 eV/atom
Volume ... 32.4 Å³ per atom
Magnetic moment ... 1.7 μB/cell
Uncorrected formation energy ... 0.902 eV per atom

```
HfTaTeI2
1.0
-4.749 -0.720 2.577
2.611 -0.104 4.784
-0.583 5.401 0.436
Te I Ta Hf
1 2 1 1
Cartesian
-0.292 2.700 0.218
1.306 -0.052 2.392
-2.375 -0.360 1.288
0.000 0.000 0.000
-1.361 2.288 3.898
```



No. 3
Material: Ce2Er5Tl4
Method: DFT, PBE
State: optimized geometry

Computed properties:
Volume ... 31.1 Å³ per atom
Formation energy ... -0.009 eV/atom
Magnetic moment ... 1.8 μB/cell

```
Ce2Er5Tl4
1.0
3.691 0.000 0.000
0.000 9.140 0.000
-1.846 -4.570 10.146
Ce Tl Er
2 4 5
Cartesian
1.846 4.570 1.386
0.000 0.000 8.759
0.000 6.801 0.000
1.846 4.570 4.521
0.000 0.000 5.625
0.000 2.339 0.000
1.846 0.000 0.000
0.000 1.983 3.247
1.846 2.587 6.899
0.000 7.157 3.247
1.846 -2.587 6.899
```



No. 4
Material: HoSc2SnC
Method: DFT, PBE
State: optimized geometry

Computed properties:
Volume ... 20.1 Å³ per atom
Formation energy ... -0.724 eV/atom
Magnetic moment ... 0.0 μB/cell

```
HoSc2SnC
1.0
-2.594 3.442 -2.165
-3.760 -1.501 2.120
0.839 2.828 3.491
Sn C Ho Sc
1 1 1 2
Cartesian
-2.758 2.384 1.723
0.000 0.000 0.000
-1.297 1.721 -1.082
0.420 1.414 1.745
-1.880 -0.750 1.060
```



No. 5
Material: TiBe3H
Method: DFT, PBE
State: optimized geometry

Computed properties:
Distance to the lowest polymorph of the same formula ... 2.095 eV/atom
Volume ... 21.9 Å³ per atom
Magnetic moment ... 1.7 μB/cell

```
TiBe3H
1.0
4.784 0.000 0.000
0.000 4.784 0.000
0.000 0.000 4.784
Be H Ti
3 1 1
Cartesian
0.000 2.392 0.000
2.392 0.000 0.000
0.000 0.000 2.392
2.392 2.392 2.392
0.000 0.000 0.000
```